Record 1
Material: FeMo
Method: DFT, GGA-PBE
State: optimized geometry

Cell lengths 4.268, 4.268, 4.268 Å; angles 60.01, 60.01, 60.01 degrees
Last column: magnetic moment on the atom in μB.
Sites, in units of the cell vectors:
Fe 0.375 0.375 0.375  2.08
Fe 0.625 0.625 0.625  2.08
Mo 0.125 0.125 0.125  0.00
Mo 0.875 0.875 0.875  0.00

***

Record 2
Material: K3Pr3TaO8
Method: DFT, GGA-PBE
State: optimized geometry

Cell lengths 7.066, 7.076, 7.611 Å; angles 117.73, 89.99, 119.99 degrees
Sites, in units of the cell vectors:
K 0.000 0.000 0.000
K 0.000 0.500 0.000
K 0.500 0.500 0.000
Pr 0.500 0.000 0.500
Pr 0.500 0.500 0.500
Pr 0.000 0.500 0.500
Ta 0.000 0.000 0.500
O 0.264 0.529 0.293
O 0.736 0.471 0.707
O 0.803 0.606 0.327
O 0.197 0.394 0.673
O 0.803 0.025 0.328
O 0.197 0.975 0.672
O 0.223 0.025 0.328
O 0.777 0.975 0.672

energy relative to the elements, uncorrected: -2.60 eV per atom

***

Record 3
Material: Pm2HfMgO6
Method: DFT, GGA-PBE
State: optimized geometry

Cell lengths 5.555, 5.788, 8.024 Å; angles 90.00, 89.41, 90.00 degrees
Sites, in units of the cell vectors:
Pm 0.018 0.943 0.252
Pm 0.518 0.557 0.752
Pm 0.982 0.057 0.748
Pm 0.482 0.443 0.248
Hf 0.500 0.000 0.500
Hf 0.000 0.500 0.000
Mg 0.500 0.000 0.000
Mg 0.000 0.500 0.500
O 0.300 0.697 0.057
O 0.800 0.803 0.557
O 0.700 0.303 0.943
O 0.200 0.197 0.443
O 0.304 0.703 0.438
O 0.804 0.797 0.938
O 0.696 0.297 0.562
O 0.196 0.203 0.062
O 0.887 0.543 0.247
O 0.387 0.957 0.747
O 0.113 0.457 0.753
O 0.613 0.043 0.253

energy relative to the elements, uncorrected: -3.34 eV per atom

***

Record 4
Material: H2S6Br
Method: DFT, GGA-PBE
State: optimized geometry

Cell lengths 9.016, 8.990, 8.989 Å; angles 91.38, 50.40, 50.40 degrees
Last column: magnetic moment on the atom in μB.
Sites, in units of the cell vectors:
H 0.148 0.026 0.026  0.21
H 0.852 0.974 0.974  0.21
S 0.257 0.280 0.812  0.01
S 0.743 0.188 0.720  0.01
S 0.743 0.720 0.188  0.01
S 0.500 0.144 0.856  0.00
S 0.257 0.812 0.280  0.01
S 0.500 0.856 0.144  0.00
Br 0.000 0.000 0.000  0.03

***

Record 5
Material: Tb3PrHo4Se8
Method: DFT, GGA-PBE
State: optimized geometry

Cell lengths 8.170, 8.224, 8.171 Å; angles 119.79, 120.00, 90.00 degrees
Sites, in units of the cell vectors:
Tb 0.500 0.500 0.000
Tb 0.500 0.500 0.500
Tb 0.000 0.500 0.500
Pr 0.000 0.500 0.000
Ho 0.500 0.000 0.000
Ho 0.500 0.000 0.500
Ho 0.000 0.000 0.000
Ho 0.000 0.000 0.500
Se 0.256 0.759 0.003
Se 0.256 0.759 0.513
Se 0.249 0.246 0.497
Se 0.746 0.759 0.003
Se 0.254 0.241 0.997
Se 0.751 0.754 0.503
Se 0.744 0.241 0.487
Se 0.744 0.241 0.997

energy relative to the elements, uncorrected: -1.75 eV per atom

***

Record 6
Material: Rb2MgSnO4
Method: DFT, GGA-PBE
State: optimized geometry

Cell lengths 6.040, 6.040, 5.967 Å; angles 120.42, 120.42, 89.99 degrees
Sites, in units of the cell vectors:
Rb 0.486 0.986 0.972
Rb 0.236 0.236 0.472
Mg 0.736 0.736 0.472
Sn 0.986 0.486 0.972
O 0.732 0.604 0.715
O 0.868 0.489 0.229
O 0.361 0.740 0.229
O 0.983 0.111 0.715

energy relative to the elements, uncorrected: -1.83 eV per atom

***

Number 1: total energy -37.93 eV per cell. Number 2: total energy -108.16 eV per cell. Number 3: total energy -168.33 eV per cell. Number 4: total energy -30.52 eV per cell. Number 5: total energy -92.85 eV per cell. Number 6: total energy -41.99 eV per cell.